# 1
VASP calculation (meta-GGA SCAN) on a crystal of SrMnCo3 relaxed with PBEsol.

```
data_SrMnCo3
_chemical_formula_sum 'Sr1 Mn1 Co3'
_cell_length_a 4.270
_cell_length_b 4.270
_cell_length_c 4.270
_cell_angle_alpha 90.00
_cell_angle_beta 90.00
_cell_angle_gamma 90.00
_symmetry_space_group_name_H-M 'P m -3 m'
_symmetry_Int_Tables_number 221
_symmetry_space_group_name_Hall '-P 4 2 3'
loop_
_atom_site_label
_atom_site_fract_x
_atom_site_fract_y
_atom_site_fract_z
_atom_site_occupancy
Sr1 0.000 0.000 0.000 1
Mn1 0.500 0.500 0.500 1
Co1 0.000 0.500 0.500 1
```

Results
* formation enthalpy at 0 K: 413 kJ/mol of formula units
* magnetic moment: 3.6 μB/f.u.

# 2
VASP calculation (meta-GGA SCAN) on a crystal of Cs2Se3 relaxed with PBEsol.

```
data_Cs2Se3
_chemical_formula_sum 'Cs8 Se12'
_cell_length_a 7.722
_cell_length_b 11.568
_cell_length_c 8.029
_cell_angle_alpha 90.00
_cell_angle_beta 90.00
_cell_angle_gamma 90.00
_symmetry_space_group_name_H-M 'C m c 21'
_symmetry_Int_Tables_number 36
loop_
_symmetry_equiv_pos_as_xyz
'x,y,z'
'-x,-y,z+1/2'
'-x,y,z'
'x,-y,z+1/2'
'x+1/2,y+1/2,z'
'-x+1/2,-y+1/2,z+1/2'
'-x+1/2,y+1/2,z'
'x+1/2,-y+1/2,z+1/2'
loop_
_atom_site_label
_atom_site_fract_x
_atom_site_fract_y
_atom_site_fract_z
_atom_site_occupancy
Cs1 0.000 0.081 0.000 1
Cs2 0.000 0.408 0.779 1
Se1 0.000 0.287 0.322 1
Se2 0.245 0.331 0.149 1
```

Results
* energy relative to the elements, uncorrected: -0.988 eV/atom
* magnetic moment: 0.0 μB/f.u.

# 3
VASP calculation (meta-GGA SCAN) on a crystal of CoIrRu relaxed with PBEsol.

```
data_CoIrRu
_chemical_formula_sum 'Co2 Ir2 Ru2'
_cell_length_a 2.639
_cell_length_b 3.650
_cell_length_c 7.796
_cell_angle_alpha 90.00
_cell_angle_beta 90.00
_cell_angle_gamma 90.00
_symmetry_space_group_name_H-M 'I m m 2'
_symmetry_Int_Tables_number 44
loop_
_symmetry_equiv_pos_as_xyz
'x,y,z'
'-x,-y,z'
'-x,y,z'
'x,-y,z'
'x+1/2,y+1/2,z+1/2'
'-x+1/2,-y+1/2,z+1/2'
'-x+1/2,y+1/2,z+1/2'
'x+1/2,-y+1/2,z+1/2'
loop_
_atom_site_label
_atom_site_fract_x
_atom_site_fract_y
_atom_site_fract_z
_atom_site_occupancy
Co1 0.000 0.000 0.000 1
Ir1 0.000 0.000 0.666 1
Ru1 0.000 0.000 0.337 1
```

Results
* formation enthalpy at 0 K: 15 kJ/mol of formula units
* magnetic moment: 1.3 μB/f.u.

# 4
VASP calculation (meta-GGA SCAN) on a crystal of Y2WAu relaxed with PBEsol.

```
data_Y2WAu
_chemical_formula_sum 'Y2 W1 Au1'
_cell_length_a 3.792
_cell_length_b 3.792
_cell_length_c 6.112
_cell_angle_alpha 90.00
_cell_angle_beta 90.00
_cell_angle_gamma 90.00
_symmetry_space_group_name_H-M 'P 4 m m'
_symmetry_Int_Tables_number 99
loop_
_symmetry_equiv_pos_as_xyz
'x,y,z'
'-y,x,z'
'-x,-y,z'
'y,-x,z'
'-x,y,z'
'y,x,z'
'x,-y,z'
'-y,-x,z'
loop_
_atom_site_label
_atom_site_fract_x
_atom_site_fract_y
_atom_site_fract_z
_atom_site_occupancy
Y1 0.000 0.000 0.000 1
Y2 0.500 0.500 0.338 1
W1 0.500 0.500 0.814 1
Au1 0.000 0.000 0.535 1
```

Results
* formation enthalpy at 0 K: 97 kJ/mol of formula units
* magnetic moment: 0.0 μB/f.u.

# 5
VASP calculation (meta-GGA SCAN) on a crystal of MgAlTe relaxed with PBEsol.

```
data_MgAlTe
_chemical_formula_sum 'Mg4 Al4 Te4'
_cell_length_a 6.992
_cell_length_b 6.992
_cell_length_c 6.992
_cell_angle_alpha 90.00
_cell_angle_beta 90.00
_cell_angle_gamma 90.00
_symmetry_space_group_name_H-M 'F -4 3 m'
_symmetry_Int_Tables_number 216
_symmetry_space_group_name_Hall 'F -4 2 3'
loop_
_atom_site_label
_atom_site_fract_x
_atom_site_fract_y
_atom_site_fract_z
_atom_site_occupancy
Mg1 0.000 0.000 0.000 1
Al1 0.000 0.000 0.500 1
Te1 0.250 0.250 0.250 1
```

Results
* energy relative to the elements, uncorrected: 0.209 eV/atom
* magnetic moment: 0.0 μB/f.u.

# 6
VASP calculation (meta-GGA SCAN) on a crystal of CaHf3Rh relaxed with PBEsol.

```
data_CaHf3Rh
_chemical_formula_sum 'Ca1 Hf3 Rh1'
_cell_length_a 5.011
_cell_length_b 5.011
_cell_length_c 5.011
_cell_angle_alpha 90.00
_cell_angle_beta 90.00
_cell_angle_gamma 90.00
_symmetry_space_group_name_H-M 'P m -3 m'
_symmetry_Int_Tables_number 221
_symmetry_space_group_name_Hall '-P 4 2 3'
loop_
_atom_site_label
_atom_site_fract_x
_atom_site_fract_y
_atom_site_fract_z
_atom_site_occupancy
Ca1 0.000 0.000 0.000 1
Hf1 0.000 0.500 0.500 1
Rh1 0.500 0.500 0.500 1
```

Results
* formation enthalpy at 0 K: 61 kJ/mol of formula units
* magnetic moment: 0.1 μB/f.u.

What is the formula in the second record? Cs2Se3